{
  "formula": "KSrZrN2",
  "functional": "PBE",
  "state": "relaxed",
  "cell": [[4.775, 0.000, 0.000], [0.000, 4.775, 0.000], [0.000, 0.000, 5.045]],
  "species": ["K", "Sr", "Zr", "N", "N"],
  "fractional_positions": [[0.000, 0.000, 0.000], [0.000, 0.000, 0.500], [0.500, 0.500, 0.000], [0.000, 0.500, 0.500], [0.500, 0.000, 0.500]],
  "raw_formation_energy_kj_per_mol_fu": 894,
  "energy_ev_per_atom": -3.742,
  "sg": "P4/mmm, No. 123",
  "magnetic_moment_mub_per_cell": 0.00
}